(1)
This record from the Alexandria database describes a relaxed structure of RbHfSc. The functional is PBE-GGA.

abc: 3.9348 3.9348 15.0538
angles: 90.00 90.00 90.00
Closest atoms and distances in Å follow each position.
Space group P4/nmm (No. 129, origin choice 2)
Asymmetric unit:
Rb  0.2500  0.2500  0.1425 (multiplicity 2)  4 Rb 3.93, 4 Hf 4.10
Hf  0.2500  0.2500  0.6577 (multiplicity 2)  4 Sc 3.08
Sc  0.2500  0.7500  0.5000 (multiplicity 2)  4 Sc 2.78, 4 Hf 3.08

Results
* ΔH_f (0 K): 940.1 meV/atom
* relative energy among the computed polymorphs: 567 meV/atom
* DFT total energy: -4.811 eV per atom

(2)
This record from the Alexandria database describes a relaxed structure of Ce2PrTlN. The functional is PBE-GGA.

abc: 4.8945 4.8945 5.1691
angles: 90.00 90.00 90.00
Closest atoms and distances in Å follow each position.
Space group P4/mmm (No. 123)
Asymmetric unit:
Ce  0.0000  0.5000  0.0000 (multiplicity 2)  2 N 2.45
Pr  0.0000  0.0000  0.5000 (multiplicity 1)  2 N 2.58
Tl  0.5000  0.5000  0.5000 (multiplicity 1)  4 Pr 3.46, 8 Ce 3.56
N  0.0000  0.0000  0.0000 (multiplicity 1)  4 Ce 2.45, 2 Pr 2.58

Results
* formation energy without anion corrections: -3.799 eV/f.u.
* DFT total energy: -6.228 eV per atom

(3)
This record from the Alexandria database describes a relaxed structure of CaIn2Re. The functional is PBE-GGA.

abc: 3.2938 3.2938 28.6922
angles: 90.00 90.00 120.00
Closest atoms and distances in Å follow each position.
Space group R-3m (No. 166, hexagonal axes)
Asymmetric unit:
Ca  0.0000  0.0000  0.0000 (multiplicity 3)  6 In 3.28, 6 Ca 3.29
In  0.0000  0.0000  0.2403 (multiplicity 6)  3 Re 2.84
Re  0.0000  0.0000  0.5000 (multiplicity 3)  6 In 2.84

Results
* ΔH_f (0 K): 421.9 meV/atom
* relative energy among the computed polymorphs: 174 meV/atom
* DFT total energy: -4.560 eV per atom

(4)
This record from the Alexandria database describes a relaxed structure of MgHgPb4. The functional is PBE-GGA.

abc: 4.5004 22.3258 7.4803
angles: 90.00 90.00 90.00
Closest atoms and distances in Å follow each position.
Space group Cmc2_1 (No. 36)
Asymmetric unit:
Mg  0.0000  0.1732  0.0000 (multiplicity 4)  8 Pb 3.14-3.49
Hg  0.0000  0.4285  0.9661 (multiplicity 4)  6 Pb 3.11-3.33
Pb  0.0000  0.0231  0.7472 (multiplicity 4)  4 Hg 3.26-3.49, 4 Pb 3.39-3.46
Pb  0.0000  0.2936  0.7748 (multiplicity 4)  3 Mg 3.14-3.17, 4 Pb 3.25-3.40, 1 Hg 3.33
Pb  0.0000  0.3136  0.2055 (multiplicity 4)  1 Hg 3.13, 3 Mg 3.16-3.49, 3 Pb 3.25-3.33
Pb  0.0000  0.4259  0.5501 (multiplicity 4)  2 Hg 3.11-3.31, 2 Mg 3.18, 5 Pb 3.39-3.46

Results
* ΔH_f (0 K): 71.3 meV/atom
* relative energy among the computed polymorphs: 77 meV/atom
* DFT total energy: -2.717 eV per atom

(5)
This record from the Alexandria database describes a relaxed structure of CrCoIr2. The functional is PBE-GGA.

abc: 6.0197 6.0197 6.0197
angles: 90.00 90.00 90.00
Closest atoms and distances in Å follow each position.
Space group F-43m (No. 216)
Asymmetric unit:
Cr  0.0000  0.0000  0.0000 (multiplicity 4)  4 Co 2.61, 4 Ir 2.61
Co  0.2500  0.2500  0.2500 (multiplicity 4)  4 Cr 2.61, 4 Ir 2.61
Ir  0.0000  0.0000  0.5000 (multiplicity 4)  4 Co 2.61, 4 Ir 2.61
Ir  0.2500  0.2500  0.7500 (multiplicity 4)  4 Cr 2.61, 4 Ir 2.61

Results
* ΔH_f (0 K): 313.6 meV/atom
* DFT total energy: -8.299 eV per atom

(6)
This record from the Alexandria database describes a relaxed structure of AlCd2Au2. The functional is PBE-GGA.

abc: 8.3797 8.3797 2.9473
angles: 90.00 90.00 90.00
Closest atoms and distances in Å follow each position.
Space group P4/mbm (No. 127)
Asymmetric unit:
Al  0.0000  0.0000  0.0000 (multiplicity 2)  2 Al 2.95
Cd  0.1268  0.3732  0.0000 (multiplicity 4)  6 Au 2.80-2.93, 3 Cd 2.95-3.01
Au  0.1720  0.6720  0.5000 (multiplicity 4)  6 Cd 2.80-2.93, 2 Au 2.95

Results
* ΔH_f (0 K): 8.7 meV/atom
* relative energy among the computed polymorphs: 185 meV/atom
* DFT total energy: -2.417 eV per atom